This record from Alexandria describes a geometry-optimized Pa2InCoO8 structure. The functional is PBE with a Hubbard U.

**E_tot**: -7.681 eV/atom
**V**: 12.00 Å³ per atom

Lattice parameters (Å, degrees): 5.2629 5.2629 6.0016 90.00 90.00 120.00
Space group P-3m1 (No. 164)
Asymmetric unit:
Pa1 0.3333 0.6667 0.3652 [2 per cell]
In1 0.0000 0.0000 0.0000 [1 per cell]
Co1 0.0000 0.0000 0.5000 [1 per cell]
O1 0.1640 0.3280 0.6836 [6 per cell]
O2 0.3333 0.6667 0.0562 [2 per cell]